This record from Alexandria via LeMat-Bulk describes BaLi2Mn after structural relaxation. The functional is PBE-GGA.

Computed properties:
Relative energy among the computed polymorphs ... 0.021 eV per atom
Calculated volume ... 29.51 Å³/atom
Magnetization ... 7.7 Bohr magnetons per cell
Energy of formation ... 0.385 eV per atom

a b c (Å): 8.456 4.858 6.383
angles (deg): 90.00 115.82 90.00
Space group C2/m (No. 12)
Symmetry-distinct sites (fractional):
Ba 0.000 0.000 0.000 (multiplicity 2)
Li 0.196 0.000 0.589 (multiplicity 4)
Mn 0.000 0.500 0.500 (multiplicity 2)